! CaCoO2 (PBE+U, optimized geometry); values from VASP
&SYSTEM
  ibrav = 0, nat = 8, ntyp = 3
/
ATOMIC_SPECIES
Ca 40.08 Ca.upf
Co 58.93 Co.upf
O 16.00 O.upf
CELL_PARAMETERS angstrom
-2.4415 2.4415 4.9791
2.4415 -2.4415 4.9791
2.4415 2.4415 -4.9791
ATOMIC_POSITIONS crystal
Ca 0.0000 0.0000 0.0000
Ca 0.7500 0.2500 0.5000
Co 0.2500 0.7500 0.5000
Co 0.5000 0.5000 0.0000
O 0.1677 0.6250 0.0427
O 0.3750 0.4177 0.5427
O 0.5823 0.1250 0.9573
O 0.8750 0.8323 0.4573
! Fermi-level density of states ... 0.00 states/eV/cell
! Volume ... 118.7 Å³/cell
! Energy ... -6.136 eV per atom
! Excess energy over the best structure of this formula in the dataset ... 0.28 eV per formula unit